Density functional theory data (PBE) for PmHo12Er2 after structural relaxation.

Values from the calculation:
The total DFT energy (no corrections) is -4.53 eV/atom. As for the space group: P-1.

```
PmHo12Er2
1.0
-2.448 3.141 -5.138
-5.698 2.956 1.024
7.257 21.750 10.449
Ho Pm Er
24 2 4
direct
0.661 0.464 0.796
0.566 0.877 0.130
0.934 0.623 0.870
0.296 0.405 0.594
0.697 0.604 0.396
0.839 0.036 0.204
0.542 0.428 0.075
0.431 0.140 0.858
0.574 0.570 0.666
0.363 0.564 0.202
0.926 0.930 0.334
0.137 0.936 0.798
0.406 0.407 0.332
0.204 0.095 0.406
0.769 0.462 0.538
0.271 0.958 0.542
0.463 0.568 0.925
0.958 0.072 0.925
0.229 0.542 0.458
0.069 0.360 0.142
0.731 0.038 0.462
0.803 0.896 0.604
0.094 0.093 0.668
0.037 0.932 0.075
0.017 0.509 0.006
0.483 0.991 0.994
0.883 0.484 0.269
0.384 0.981 0.269
0.617 0.016 0.731
0.116 0.519 0.731
```


Density functional theory data (PBE) for Pm5Ho5Er2 after structural relaxation.

Values from the calculation:
The total DFT energy (no corrections) is -4.63 eV/atom. As for the space group: C2/m.

```
Pm5Ho5Er2
1.0
3.497 0.000 0.747
1.085 8.720 3.480
-1.054 2.753 13.489
Pm Er Ho
5 2 5
direct
0.666 0.668 0.000
0.417 0.916 0.251
0.334 0.332 0.000
0.500 0.500 0.500
0.583 0.084 0.749
0.916 0.420 0.749
0.084 0.580 0.251
0.832 0.835 0.501
0.251 0.749 0.749
0.000 0.000 0.000
0.168 0.165 0.499
0.749 0.251 0.251
```


Density functional theory data (PBE) for PmHo3Er after structural relaxation.

Values from the calculation:
The total DFT energy (no corrections) is -4.60 eV/atom. As for the space group: P2_1/m. For the energy above the most stable polymorph in this dataset, the calculation gives 0 meV/atom.

```
PmHo3Er
1.0
9.496 0.000 -1.222
0.000 5.633 0.000
-1.277 0.000 6.142
Ho Pm Er
6 2 2
direct
0.402 0.950 0.366
0.999 0.950 0.164
0.598 0.450 0.634
0.001 0.450 0.836
0.202 0.950 0.768
0.798 0.450 0.232
0.800 0.950 0.568
0.200 0.450 0.432
0.401 0.450 0.034
0.599 0.950 0.966
```


Density functional theory data (PBE) for Pm6HoEr after structural relaxation.

Values from the calculation:
The total DFT energy (no corrections) is -4.69 eV/atom. As for the space group: P4/mmm.

```
Pm6HoEr
1.0
-1.121 3.951 3.045
-4.628 0.341 -2.146
-3.723 -6.454 7.002
Pm Ho Er
6 1 1
direct
0.500 0.000 0.750
0.500 0.500 0.500
0.000 0.500 0.250
0.500 0.000 0.250
0.000 0.500 0.750
0.500 0.500 0.000
0.000 0.000 0.000
0.000 0.000 0.500
```


Density functional theory data (PBE) for PmHo6Er12 after structural relaxation.

Values from the calculation:
The total DFT energy (no corrections) is -4.42 eV/atom. As for the space group: R-3. For the energy above the most stable polymorph in this dataset, the calculation gives 0 meV/atom.

```
PmHo6Er12
1.0
8.380 0.721 0.864
-0.557 8.392 0.864
-0.557 -0.649 8.411
Er Pm Ho
12 1 6
direct
0.545 0.436 0.772
0.786 0.646 0.992
0.646 0.992 0.786
0.354 0.008 0.214
0.436 0.772 0.545
0.772 0.545 0.436
0.008 0.214 0.354
0.564 0.228 0.455
0.214 0.354 0.008
0.992 0.786 0.646
0.455 0.564 0.228
0.228 0.455 0.564
0.000 0.000 0.000
0.255 0.091 0.685
0.315 0.745 0.909
0.091 0.685 0.255
0.909 0.315 0.745
0.745 0.909 0.315
0.685 0.255 0.091
```


Density functional theory data (PBE) for Pm5Ho2Er2 after structural relaxation.

Values from the calculation:
The total DFT energy (no corrections) is -4.65 eV/atom. As for the space group: C2/m. For the energy above the most stable polymorph in this dataset, the calculation gives 0 meV/atom.

```
Pm5Ho2Er2
1.0
1.703 0.097 -5.986
-4.784 -2.718 2.913
-9.298 7.426 7.179
Er Pm Ho
2 5 2
direct
0.891 0.332 0.224
0.109 0.668 0.776
0.553 0.334 0.888
0.779 0.666 0.445
0.221 0.334 0.555
0.000 0.000 0.000
0.447 0.666 0.112
0.334 0.000 0.333
0.666 0.000 0.667
```


Density functional theory data (PBE) for Pm3Ho2Er4 after structural relaxation.

Values from the calculation:
The total DFT energy (no corrections) is -4.53 eV/atom. As for the space group: C2/c. For the energy above the most stable polymorph in this dataset, the calculation gives 84 meV/atom.

```
Pm3Ho2Er4
1.0
-0.369 -5.961 0.932
1.526 -6.586 -8.948
9.580 -5.792 -0.675
Pm Ho Er
6 4 8
direct
0.754 0.064 0.268
0.746 0.732 0.936
0.250 0.602 0.398
0.750 0.398 0.602
0.254 0.268 0.064
0.246 0.936 0.732
0.578 0.755 0.483
0.422 0.245 0.517
0.078 0.483 0.755
0.922 0.517 0.245
0.581 0.420 0.149
0.578 0.088 0.816
0.081 0.149 0.420
0.422 0.912 0.184
0.419 0.580 0.851
0.919 0.851 0.580
0.078 0.816 0.088
0.922 0.184 0.912
```


Density functional theory data (PBE) for Pm12Ho3Er after structural relaxation.

Values from the calculation:
The total DFT energy (no corrections) is -4.69 eV/atom. As for the space group: P4/mmm.

```
Pm12Ho3Er
1.0
-0.767 -4.366 2.557
2.386 -2.593 -3.711
17.795 2.536 9.670
Pm Ho Er
12 3 1
direct
0.000 0.500 0.625
0.500 0.000 0.875
0.500 0.000 0.375
0.500 0.500 0.750
0.000 0.500 0.375
0.500 0.500 0.500
0.000 0.500 0.125
0.500 0.000 0.625
0.500 0.500 0.250
0.000 0.500 0.875
0.500 0.500 0.000
0.500 0.000 0.125
0.000 0.000 0.750
0.000 0.000 0.500
0.000 0.000 0.250
0.000 0.000 0.000
```


Density functional theory data (PBE) for Pm3Ho7Er2 after structural relaxation.

Values from the calculation:
The total DFT energy (no corrections) is -4.32 eV/atom. As for the space group: P2/m. For the energy above the most stable polymorph in this dataset, the calculation gives 214 meV/atom.

```
Pm3Ho7Er2
1.0
5.604 0.000 0.000
0.000 6.083 -0.244
0.000 -0.447 12.112
Er Ho Pm
2 7 3
direct
0.500 0.637 0.287
0.500 0.363 0.713
0.000 0.000 0.000
0.500 0.769 0.558
0.000 0.550 0.823
0.500 0.231 0.442
0.000 0.450 0.177
0.500 0.094 0.162
0.500 0.906 0.838
0.000 0.034 0.674
0.000 0.966 0.326
0.500 0.500 0.000
```


| no. | volume (Å³ per cell) | DOS at the Fermi energy (states/eV per cell) |
| --- | --- | --- |
| 1 | 936.2 | 50.77 |
| 2 | 386.9 | 15.94 |
| 3 | 319.7 | 16.31 |
| 4 | 267.2 | 12.70 |
| 5 | 603.6 | 31.05 |
| 6 | 294.6 | 12.45 |
| 7 | 572.9 | 26.11 |
| 8 | 534.5 | 23.84 |
| 9 | 412.2 | 18.68 |